! Sr3Bi2Pd9Au PBE relaxed; values from VASP
! **Energy of formation**: -244 meV/atom
! **Magnetization**: 0.00 μB per cell
! **DFT total energy**: -66.49 eV for the cell shown
&SYSTEM
  ibrav = 0, nat = 15, ntyp = 4
/
ATOMIC_SPECIES
Sr 87.62 Sr.upf
Bi 208.98 Bi.upf
Pd 106.42 Pd.upf
Au 196.97 Au.upf
ATOMIC_POSITIONS angstrom
Sr 3.248 -6.613 3.278
Sr 0.000 0.000 0.000
Sr -1.834 -3.839 2.222
Bi 0.969 -4.218 -0.705
Bi 0.445 -6.234 6.206
Pd -1.849 -5.393 6.985
Pd 0.192 -7.925 4.295
Pd 1.936 -4.274 5.492
Pd -0.522 -6.178 0.008
Pd 1.222 -2.527 1.205
Pd 3.263 -5.059 -1.484
Pd -3.094 -0.915 1.220
Pd 1.668 -2.069 -2.198
Pd -1.426 -2.984 -0.979
Au 2.133 -2.242 3.729
CELL_PARAMETERS angstrom
-6.188 -1.830 2.439
3.336 -4.139 -4.396
4.266 -4.483 7.457